1.
Entry from Alexandria: a relaxed Tb6Th2Sc crystal (PBE-GGA).

energy above the lowest structure with this stoichiometry: 0.0000 eV per atom
size of the total moment: 0.000 μB per formula unit
energy of formation from the pure elements: 4.8 kJ/mol of atoms
ρ: 8.64 g/cm³

Cell: 11.132 5.039 10.541 Å, 90.00 108.10 90.00°
Space group C2/m (No. 12)
Inequivalent atoms, fractional coordinates:
1 Tb 0.163 0.000 0.054 [4 per cell]
2 Tb 0.164 0.000 0.721 [4 per cell]
3 Tb 0.166 0.000 0.390 [4 per cell]
4 Th 0.002 0.500 0.170 [4 per cell]
5 Sc 0.000 0.500 0.500 [2 per cell]

---

2.
Entry from Alexandria: a relaxed Tb7ThSc4 crystal (PBE-GGA).

energy above the lowest structure with this stoichiometry: 0.0000 eV per atom
size of the total moment: 0.000 μB per formula unit
energy of formation from the pure elements: 2.5 kJ/mol of atoms
ρ: 7.19 g/cm³

Cell: 6.045 6.978 8.598 Å, 89.72 76.14 90.00°
Space group P-1 (No. 2)
Inequivalent atoms, fractional coordinates:
1 Tb 0.000 0.000 0.000 [1 per cell]
2 Tb 0.222 0.501 0.334 [2 per cell]
3 Tb 0.283 0.245 0.662 [2 per cell]
4 Tb 0.500 0.248 0.006 [2 per cell]
5 Th 0.000 0.500 0.000 [1 per cell]
6 Sc 0.215 0.000 0.342 [2 per cell]
7 Sc 0.270 0.754 0.666 [2 per cell]

---

3.
Entry from Alexandria: a relaxed Tb6ThSc4 crystal (PBE-GGA).

energy above the lowest structure with this stoichiometry: 0.2227 eV per atom
size of the total moment: 0.000 μB per formula unit
energy of formation from the pure elements: 34.3 kJ/mol of atoms
ρ: 6.80 g/cm³

Cell: 6.840 6.840 14.254 Å, 90.00 90.00 90.00°
Space group I-42m (No. 121)
Inequivalent atoms, fractional coordinates:
1 Tb 0.000 0.500 0.000 [4 per cell]
2 Tb 0.209 0.209 0.187 [8 per cell]
3 Th 0.000 0.000 0.000 [2 per cell]
4 Sc 0.155 0.155 0.409 [8 per cell]

---

4.
Entry from Alexandria: a relaxed Tb2ThSc crystal (PBE-GGA).

energy above the lowest structure with this stoichiometry: 0.0085 eV per atom
size of the total moment: 0.000 μB per formula unit
energy of formation from the pure elements: 4.3 kJ/mol of atoms
ρ: 8.24 g/cm³

Cell: 4.893 4.893 5.009 Å, 90.00 90.00 90.00°
Space group P4/mmm (No. 123)
Inequivalent atoms, fractional coordinates:
1 Tb 0.000 0.500 0.000 [2 per cell]
2 Th 0.000 0.000 0.500 [1 per cell]
3 Sc 0.500 0.500 0.500 [1 per cell]

---

5.
Entry from Alexandria: a relaxed Tb6ThSc2 crystal (PBE-GGA).

energy above the lowest structure with this stoichiometry: 0.1763 eV per atom
size of the total moment: 0.001 μB per formula unit
energy of formation from the pure elements: 30.1 kJ/mol of atoms
ρ: 7.28 g/cm³

Cell: 8.3628 8.3628 14.4126 Å, 90.00 90.00 120.00°
Space group R3 (No. 146, hexagonal axes)
Inequivalent atoms, fractional coordinates:
1 Tb 0.0289 0.2590 0.0000 [9 per cell]
2 Tb 0.1102 0.7059 0.4670 [9 per cell]
3 Th 0.0000 0.0000 0.1954 [3 per cell]
4 Sc 0.0000 0.0000 0.4054 [3 per cell]
5 Sc 0.0000 0.0000 0.6145 [3 per cell]

---

6.
Entry from Alexandria: a relaxed Tb14ThSc crystal (PBE-GGA).

size of the total moment: 0.000 μB per formula unit
energy of formation from the pure elements: 2.2 kJ/mol of atoms
ρ: 8.26 g/cm³

Cell: 7.087 7.087 10.015 Å, 90.00 90.00 90.00°
Space group P4/mmm (No. 123)
Inequivalent atoms, fractional coordinates:
1 Tb 0.000 0.000 0.000 [1 per cell]
2 Tb 0.000 0.500 0.000 [2 per cell]
3 Tb 0.000 0.500 0.500 [2 per cell]
4 Tb 0.250 0.250 0.254 [8 per cell]
5 Tb 0.500 0.500 0.000 [1 per cell]
6 Th 0.000 0.000 0.500 [1 per cell]
7 Sc 0.500 0.500 0.500 [1 per cell]

---

7.
Entry from Alexandria: a relaxed Tb3Th5Sc4 crystal (PBE-GGA).

size of the total moment: 0.000 μB per formula unit
energy of formation from the pure elements: 15.4 kJ/mol of atoms
ρ: 8.34 g/cm³

Cell: 6.334 8.088 8.388 Å, 64.81 76.36 69.25°
Space group P-1 (No. 2)
Inequivalent atoms, fractional coordinates:
1 Tb 0.000 0.000 0.000 [1 per cell]
2 Tb 0.245 0.350 0.598 [2 per cell]
3 Th 0.081 0.326 0.191 [2 per cell]
4 Th 0.179 0.844 0.399 [2 per cell]
5 Th 0.500 0.000 0.000 [1 per cell]
6 Sc 0.391 0.883 0.696 [2 per cell]
7 Sc 0.462 0.572 0.155 [2 per cell]

---

8.
Entry from Alexandria: a relaxed TbTh2Sc2 crystal (PBE-GGA).

energy above the lowest structure with this stoichiometry: 0.0000 eV per atom
size of the total moment: 0.000 μB per formula unit
energy of formation from the pure elements: 5.1 kJ/mol of atoms
ρ: 8.13 g/cm³

Cell: 4.891 24.337 9.792 Å, 90.00 90.00 90.00°
Space group Cmce (No. 64)
Inequivalent atoms, fractional coordinates:
1 Tb 0.000 0.149 0.117 [8 per cell]
2 Th 0.000 0.049 0.378 [8 per cell]
3 Th 0.000 0.249 0.875 [8 per cell]
4 Sc 0.000 0.047 0.871 [8 per cell]
5 Sc 0.000 0.149 0.634 [8 per cell]

---

9.
Entry from Alexandria: a relaxed Tb5Th2Sc4 crystal (PBE-GGA).

energy above the lowest structure with this stoichiometry: 0.2558 eV per atom
size of the total moment: 0.001 μB per formula unit
energy of formation from the pure elements: 38.8 kJ/mol of atoms
ρ: 7.10 g/cm³

Cell: 3.389 7.147 27.799 Å, 90.00 90.00 90.00°
Space group Immm (No. 71)
Inequivalent atoms, fractional coordinates:
1 Tb 0.000 0.000 0.000 [2 per cell]
2 Tb 0.000 0.240 0.305 [8 per cell]
3 Th 0.000 0.500 0.399 [4 per cell]
4 Sc 0.000 0.172 0.500 [4 per cell]
5 Sc 0.000 0.500 0.097 [4 per cell]

---

10.
Entry from Alexandria: a relaxed Tb4ThSc2 crystal (PBE-GGA).

energy above the lowest structure with this stoichiometry: 0.0000 eV per atom
size of the total moment: 0.001 μB per formula unit
energy of formation from the pure elements: 16.1 kJ/mol of atoms
ρ: 7.56 g/cm³

Cell: 5.765 6.542 11.514 Å, 90.00 104.46 90.00°
Space group P2_1/m (No. 11)
Inequivalent atoms, fractional coordinates:
1 Tb 0.029 0.250 0.167 [2 per cell]
2 Tb 0.180 0.750 0.424 [2 per cell]
3 Tb 0.363 0.501 0.710 [4 per cell]
4 Th 0.158 0.750 0.125 [2 per cell]
5 Sc 0.257 0.250 0.443 [2 per cell]
6 Sc 0.408 0.250 0.000 [2 per cell]

---

11.
Entry from Alexandria: a relaxed TbTh2Sc3 crystal (PBE-GGA).

energy above the lowest structure with this stoichiometry: 0.0229 eV per atom
size of the total moment: 0.000 μB per formula unit
energy of formation from the pure elements: 4.7 kJ/mol of atoms
ρ: 7.40 g/cm³

Cell: 3.477 17.524 11.164 Å, 90.00 90.00 90.00°
Space group Cmcm (No. 63)
Inequivalent atoms, fractional coordinates:
1 Tb 0.000 0.222 0.250 [4 per cell]
2 Th 0.000 0.000 0.000 [4 per cell]
3 Th 0.000 0.445 0.750 [4 per cell]
4 Sc 0.000 0.110 0.750 [4 per cell]
5 Sc 0.000 0.333 0.008 [8 per cell]

---

12.
Entry from Alexandria: a relaxed TbTh3Sc6 crystal (PBE-GGA).

energy above the lowest structure with this stoichiometry: 0.1064 eV per atom
size of the total moment: 0.000 μB per formula unit
energy of formation from the pure elements: 15.0 kJ/mol of atoms
ρ: 6.71 g/cm³

Cell: 9.394 19.643 6.031 Å, 90.00 90.00 90.00°
Space group Cmc2_1 (No. 36)
Inequivalent atoms, fractional coordinates:
1 Tb 0.000 0.158 0.000 [4 per cell]
2 Th 0.000 0.429 0.079 [4 per cell]
3 Th 0.180 0.123 0.483 [8 per cell]
4 Sc 0.000 0.001 0.742 [4 per cell]
5 Sc 0.000 0.304 0.765 [4 per cell]
6 Sc 0.172 0.278 0.309 [8 per cell]
7 Sc 0.190 0.434 0.523 [8 per cell]

---

13.
Entry from Alexandria: a relaxed TbTh3Sc12 crystal (PBE-GGA).

size of the total moment: 0.000 μB per formula unit
energy of formation from the pure elements: 3.3 kJ/mol of atoms
ρ: 5.50 g/cm³

Cell: 4.721 4.721 18.882 Å, 90.00 90.00 90.00°
Space group P4/mmm (No. 123)
Inequivalent atoms, fractional coordinates:
1 Tb 0.000 0.000 0.000 [1 per cell]
2 Th 0.000 0.000 0.250 [2 per cell]
3 Th 0.000 0.000 0.500 [1 per cell]
4 Sc 0.000 0.500 0.126 [4 per cell]
5 Sc 0.000 0.500 0.375 [4 per cell]
6 Sc 0.500 0.500 0.000 [1 per cell]
7 Sc 0.500 0.500 0.250 [2 per cell]
8 Sc 0.500 0.500 0.500 [1 per cell]

---

14.
Entry from Alexandria: a relaxed TbTh7Sc3 crystal (PBE-GGA).

size of the total moment: 0.000 μB per formula unit
energy of formation from the pure elements: 27.6 kJ/mol of atoms
ρ: 9.24 g/cm³

Cell: 6.563 11.369 9.345 Å, 90.00 98.46 90.00°
Space group C2/m (No. 12)
Inequivalent atoms, fractional coordinates:
1 Tb 0.000 0.000 0.000 [2 per cell]
2 Th 0.000 0.000 0.500 [2 per cell]
3 Th 0.116 0.500 0.684 [4 per cell]
4 Th 0.232 0.287 0.186 [8 per cell]
5 Sc 0.000 0.275 0.500 [4 per cell]
6 Sc 0.000 0.500 0.000 [2 per cell]

---

15.
Entry from Alexandria: a relaxed Tb2Th3Sc3 crystal (PBE-GGA).

energy above the lowest structure with this stoichiometry: 0.0872 eV per atom
size of the total moment: 0.000 μB per formula unit
energy of formation from the pure elements: 12.4 kJ/mol of atoms
ρ: 8.09 g/cm³

Cell: 8.8203 8.8203 3.4990 Å, 90.00 90.00 120.00°
Space group P-62m (No. 189)
Inequivalent atoms, fractional coordinates:
1 Tb 0.3333 0.6667 0.0000 [2 per cell]
2 Th 0.0000 0.7688 0.0000 [3 per cell]
3 Sc 0.0000 0.3928 0.5000 [3 per cell]

---

16.
Entry from Alexandria: a relaxed Tb6Th2Sc3 crystal (PBE-GGA).

size of the total moment: 0.000 μB per formula unit
energy of formation from the pure elements: 4.3 kJ/mol of atoms
ρ: 7.83 g/cm³

Cell: 6.073 7.749 7.802 Å, 107.78 104.68 97.73°
Space group P-1 (No. 2)
Inequivalent atoms, fractional coordinates:
1 Tb 0.051 0.404 0.183 [2 per cell]
2 Tb 0.137 0.233 0.545 [2 per cell]
3 Tb 0.320 0.868 0.270 [2 per cell]
4 Th 0.234 0.051 0.912 [2 per cell]
5 Sc 0.413 0.683 0.646 [2 per cell]
6 Sc 0.500 0.500 0.000 [1 per cell]

---

17.
Entry from Alexandria: a relaxed Tb5Th2Sc2 crystal (PBE-GGA).

energy above the lowest structure with this stoichiometry: 0.0843 eV per atom
size of the total moment: 0.000 μB per formula unit
energy of formation from the pure elements: 21.2 kJ/mol of atoms
ρ: 8.03 g/cm³

Cell: 15.007 12.761 5.827 Å, 90.00 90.00 90.00°
Space group Ima2 (No. 46)
Inequivalent atoms, fractional coordinates:
1 Tb 0.043 0.180 0.000 [8 per cell]
2 Tb 0.144 0.689 0.863 [8 per cell]
3 Tb 0.250 0.181 0.816 [4 per cell]
4 Th 0.000 0.000 0.457 [4 per cell]
5 Th 0.250 0.053 0.343 [4 per cell]
6 Sc 0.146 0.550 0.368 [8 per cell]

---

18.
Entry from Alexandria: a relaxed Tb2Th4Sc crystal (PBE-GGA).

size of the total moment: 0.000 μB per formula unit
energy of formation from the pure elements: 24.4 kJ/mol of atoms
ρ: 9.47 g/cm³

Cell: 5.731 23.287 3.392 Å, 90.00 90.00 90.00°
Space group Cmmm (No. 65)
Inequivalent atoms, fractional coordinates:
1 Tb 0.000 0.210 0.000 [4 per cell]
2 Th 0.000 0.077 0.500 [4 per cell]
3 Th 0.000 0.369 0.000 [4 per cell]
4 Sc 0.000 0.500 0.500 [2 per cell]

---

19.
Entry from Alexandria: a relaxed Tb3Th3Sc crystal (PBE-GGA).

size of the total moment: 0.000 μB per formula unit
energy of formation from the pure elements: 31.4 kJ/mol of atoms
ρ: 8.66 g/cm³

Cell: 8.6606 8.6606 21.5656 Å, 90.00 90.00 120.00°
Space group R-3 (No. 148, hexagonal axes)
Inequivalent atoms, fractional coordinates:
1 Tb 0.0523 0.4387 0.3810 [18 per cell]
2 Th 0.0107 0.2574 0.5527 [18 per cell]
3 Sc 0.0000 0.0000 0.1535 [6 per cell]

---

20.
Entry from Alexandria: a relaxed Tb3Th4Sc2 crystal (PBE-GGA).

size of the total moment: 0.000 μB per formula unit
energy of formation from the pure elements: 13.9 kJ/mol of atoms
ρ: 8.96 g/cm³

Cell: 16.106 10.256 6.846 Å, 90.00 101.62 90.00°
Space group C2/c (No. 15)
Inequivalent atoms, fractional coordinates:
1 Tb 0.000 0.017 0.250 [4 per cell]
2 Tb 0.164 0.493 0.826 [8 per cell]
3 Th 0.000 0.320 0.003 [8 per cell]
4 Th 0.170 0.161 0.839 [8 per cell]
5 Sc 0.177 0.182 0.337 [8 per cell]